<w>
Computed, not measured: a relaxed Rb2AgF4 crystal at the PBE-GGA level of DFT.

spin magnetization = 0.143 μB per atom
space group = P4/mmm, No. 123
crystal system = tetragonal
density = 3.66 g/cm³

Cell: 3.693 6.603 6.603 Å, 90.00 90.00 90.00°
Site moments in Bohr magnetons follow the coordinates.
Atoms (fractional coordinates):
1 F 0.000 0.775 0.775  0.12
2 F 0.000 0.775 0.225  0.12
3 F 0.000 0.225 0.775  0.12
4 Ag 0.000 0.000 0.000  0.48
5 Rb 0.500 0.000 0.500  0.00
6 F 0.000 0.225 0.225  0.12
7 Rb 0.500 0.500 0.000  0.00

<x>
Computed, not measured: a relaxed Rb2AgF4 crystal at the PBE-GGA level of DFT.

spin magnetization = 0.120 μB per atom
space group = I4/mmm, No. 139
crystal system = tetragonal
density = 4.22 g/cm³

Cell: 4.465 4.465 7.680 Å, 73.10 73.10 90.00°
Site moments in Bohr magnetons follow the coordinates.
Atoms (fractional coordinates):
1 Rb 0.357 0.357 0.286  0.00
2 Rb 0.643 0.643 0.714  0.00
3 F 0.500 0.000 0.000  0.09
4 F 0.000 0.500 0.000  0.09
5 F 0.159 0.159 0.682  0.09
6 Ag 0.000 0.000 0.000  0.46
7 F 0.841 0.841 0.318  0.09

Most stable of them? <x>.

<w>
Computed, not measured: a relaxed RbAg3F crystal at the PBE-GGA level of DFT.

spin magnetization = 0.000 μB per atom
space group = Pm-3m, No. 221
crystal system = cubic
density = 5.69 g/cm³

Cell: 4.999 4.999 4.999 Å, 90.00 90.00 90.00°
Atoms (fractional coordinates):
1 F 0.000 0.000 0.000
2 Rb 0.500 0.500 0.500
3 Ag 0.500 0.000 0.000
4 Ag 0.000 0.500 0.000
5 Ag 0.000 0.000 0.500

<x>
Computed, not measured: a relaxed RbAg3F crystal at the PBE-GGA level of DFT.

spin magnetization = 0.142 μB per atom
space group = Pm-3m, No. 221
crystal system = cubic
density = 2.95 g/cm³

Cell: 6.220 6.220 6.220 Å, 90.00 90.00 90.00°
Site moments in Bohr magnetons follow the coordinates.
Atoms (fractional coordinates):
1 Ag 0.000 0.500 0.000  0.02
2 Rb 0.000 0.000 0.000  0.02
3 F 0.500 0.500 0.500  0.12
4 Ag 0.000 0.000 0.500  0.03
5 Ag 0.500 0.000 0.000  0.13

Most stable of them? <w>.

<w>
Computed, not measured: a relaxed RbAg2F3 crystal at the PBE-GGA level of DFT.

spin magnetization = 0.000 μB per atom
space group = Cmcm, No. 63
crystal system = orthorhombic
density = 4.96 g/cm³

Cell: 5.865 6.532 6.532 Å, 73.48 90.00 90.00°
Atoms (fractional coordinates):
1 F 0.750 0.465 0.188
2 Ag 0.000 0.182 0.182
3 Rb 0.250 0.631 0.369
4 F 0.250 0.535 0.812
5 Ag 0.500 0.182 0.182
6 F 0.750 0.031 0.969
7 Ag 0.000 0.818 0.818
8 F 0.250 0.969 0.031
9 F 0.750 0.812 0.535
10 F 0.250 0.188 0.465
11 Ag 0.500 0.818 0.818
12 Rb 0.750 0.369 0.631

<x>
Computed, not measured: a relaxed RbAg2F3 crystal at the PBE-GGA level of DFT.

spin magnetization = 0.000 μB per atom
space group = Pmmn, No. 59
crystal system = orthorhombic
density = 5.32 g/cm³

Cell: 3.630 4.840 12.728 Å, 89.99 90.00 90.00°
Atoms (fractional coordinates):
1 Ag 0.250 0.733 0.565
2 Rb 0.750 0.231 0.750
3 F 0.750 0.271 0.250
4 Ag 0.750 0.267 0.065
5 F 0.750 0.768 0.429
6 Ag 0.250 0.733 0.935
7 Ag 0.750 0.267 0.435
8 F 0.250 0.232 0.929
9 Rb 0.250 0.769 0.250
10 F 0.250 0.232 0.571
11 F 0.250 0.729 0.750
12 F 0.750 0.768 0.071

Most stable of them? <x>.

<w>
Computed, not measured: a relaxed Rb2TlAgF6 crystal at the PBE-GGA level of DFT.

spin magnetization = 0.000 μB per atom
space group = Fm-3m, No. 225
crystal system = cubic
density = 5.09 g/cm³

Cell: 6.506 6.506 6.506 Å, 60.00 60.00 60.00°
Atoms (fractional coordinates):
1 F 0.240 0.760 0.760
2 F 0.240 0.760 0.240
3 Rb 0.250 0.250 0.250
4 F 0.760 0.240 0.240
5 Ag 0.500 0.500 0.500
6 F 0.240 0.240 0.760
7 Tl 0.000 0.000 0.000
8 F 0.760 0.240 0.760
9 Rb 0.750 0.750 0.750
10 F 0.760 0.760 0.240

<x>
Computed, not measured: a relaxed Rb2TlAgF6 crystal at the PBE-GGA level of DFT.

spin magnetization = 0.000 μB per atom
space group = P2_1/c, No. 14
crystal system = monoclinic
density = 5.17 g/cm³

Cell: 6.465 6.498 9.138 Å, 90.00 89.93 90.00°
Atoms (fractional coordinates):
1 Ag 0.500 0.000 0.000
2 F 0.727 0.298 0.969
3 Rb 0.505 0.530 0.750
4 F 0.800 0.773 0.966
5 F 0.062 0.482 0.761
6 F 0.300 0.727 0.466
7 Rb 0.005 0.970 0.250
8 Rb 0.495 0.470 0.250
9 Ag 0.000 0.500 0.500
10 Tl 0.500 0.000 0.500
11 F 0.273 0.702 0.031
12 F 0.227 0.202 0.469
13 Tl 0.000 0.500 0.000
14 Rb 0.995 0.030 0.750
15 F 0.562 0.018 0.261
16 F 0.938 0.518 0.239
17 F 0.700 0.273 0.534
18 F 0.438 0.982 0.739
19 F 0.773 0.798 0.531
20 F 0.200 0.227 0.034

Most stable of them? <x>.

<w>
Computed, not measured: a relaxed ReAgF3 crystal at the PBE-GGA level of DFT.

spin magnetization = 1.154 μB per atom
space group = Pm-3m, No. 221
crystal system = cubic
density = 6.74 g/cm³

Cell: 4.422 4.422 4.422 Å, 90.00 90.00 90.00°
Site moments in Bohr magnetons follow the coordinates.
Atoms (fractional coordinates):
1 F 0.000 0.000 0.500  0.07
2 F 0.000 0.500 0.000  0.10
3 Re 0.500 0.500 0.500  4.46
4 Ag 0.000 0.000 0.000  0.06
5 F 0.500 0.000 0.000  0.07

<x>
Computed, not measured: a relaxed ReAgF3 crystal at the PBE-GGA level of DFT.

spin magnetization = 0.399 μB per atom
space group = Pm-3m, No. 221
crystal system = cubic
density = 7.64 g/cm³

Cell: 4.242 4.242 4.242 Å, 90.00 90.00 90.00°
Site moments in Bohr magnetons follow the coordinates.
Atoms (fractional coordinates):
1 F 0.000 0.000 0.500  0.03
2 F 0.000 0.500 0.000  0.06
3 Ag 0.500 0.500 0.500  -0.01
4 Re 0.000 0.000 0.000  1.65
5 F 0.500 0.000 0.000  0.12

Most stable of them? <x>.

<w>
Computed, not measured: a relaxed Re2AgF crystal at the PBE-GGA level of DFT.

spin magnetization = 0.000 μB per atom
space group = Fm-3m, No. 225
crystal system = cubic
density = 14.33 g/cm³

Cell: 4.341 4.341 4.341 Å, 60.00 60.00 60.00°
Atoms (fractional coordinates):
1 F 0.000 0.000 0.000
2 Ag 0.500 0.500 0.500
3 Re 0.250 0.250 0.250
4 Re 0.750 0.750 0.750

<x>
Computed, not measured: a relaxed Re2AgF crystal at the PBE-GGA level of DFT.

spin magnetization = 0.000 μB per atom
space group = I-42d, No. 122
crystal system = tetragonal
density = 12.65 g/cm³

Cell: 3.537 3.537 10.776 Å, 80.56 80.56 90.00°
Atoms (fractional coordinates):
1 Re 0.639 0.125 0.250
2 Ag 0.000 0.000 0.000
3 Re 0.875 0.889 0.750
4 F 0.250 0.750 0.500
5 Re 0.111 0.625 0.250
6 F 0.500 0.500 0.000
7 Re 0.375 0.361 0.750
8 Ag 0.750 0.250 0.500

Most stable of them? <x>.

<w>
Computed, not measured: a relaxed ReAg2F2 crystal at the PBE-GGA level of DFT.

spin magnetization = 0.000 μB per atom
space group = I4/mmm, No. 139
crystal system = tetragonal
density = 10.53 g/cm³

Cell: 3.206 3.206 7.122 Å, 76.99 76.99 90.00°
Atoms (fractional coordinates):
1 Ag 0.629 0.629 0.743
2 F 0.750 0.250 0.500
3 F 0.250 0.750 0.500
4 Ag 0.371 0.371 0.257
5 Re 0.000 0.000 0.000

<x>
Computed, not measured: a relaxed ReAg2F2 crystal at the PBE-GGA level of DFT.

spin magnetization = 0.503 μB per atom
space group = P4/mbm, No. 127
crystal system = tetragonal
density = 9.75 g/cm³

Cell: 7.528 7.528 2.645 Å, 90.00 90.00 90.00°
Site moments in Bohr magnetons follow the coordinates.
Atoms (fractional coordinates):
1 F 0.865 0.365 0.500  0.06
2 Re 0.000 0.000 0.000  1.83
3 Ag 0.349 0.849 0.000  0.09
4 Ag 0.651 0.151 0.000  0.09
5 F 0.635 0.865 0.500  0.07
6 F 0.365 0.135 0.500  0.07
7 F 0.135 0.635 0.500  0.06
8 Ag 0.849 0.651 0.000  0.10
9 Ag 0.151 0.349 0.000  0.10
10 Re 0.500 0.500 0.000  1.83

Most stable of them? <w>.

<w>
Computed, not measured: a relaxed Ag3RhF8 crystal at the PBE-GGA level of DFT.

spin magnetization = 0.000 μB per atom
space group = I4/mmm, No. 139
crystal system = tetragonal
density = 5.87 g/cm³

Cell: 5.492 5.492 6.670 Å, 114.31 114.31 90.00°
Atoms (fractional coordinates):
1 F 0.330 0.892 0.222
2 F 0.108 0.108 0.778
3 F 0.670 0.108 0.778
4 Ag 0.500 0.500 0.000
5 Rh 0.000 0.000 0.000
6 F 0.330 0.330 0.222
7 F 0.892 0.330 0.222
8 F 0.892 0.892 0.222
9 Ag 0.750 0.250 0.500
10 Ag 0.250 0.750 0.500
11 F 0.670 0.670 0.778
12 F 0.108 0.670 0.778

<x>
Computed, not measured: a relaxed Ag3RhF8 crystal at the PBE-GGA level of DFT.

spin magnetization = 0.043 μB per atom
space group = C222, No. 21
crystal system = orthorhombic
density = 4.51 g/cm³

Cell: 6.193 6.193 6.907 Å, 90.00 90.00 126.46°
Site moments in Bohr magnetons follow the coordinates.
Atoms (fractional coordinates):
1 F 0.743 0.730 0.291  0.02
2 F 0.692 0.308 0.000  0.04
3 Ag 0.500 0.500 0.000  0.18
4 F 0.270 0.257 0.709  0.02
5 F 0.257 0.270 0.291  0.02
6 F 0.308 0.692 0.000  0.04
7 F 0.320 0.680 0.500  0.01
8 F 0.730 0.743 0.709  0.02
9 Rh 0.500 0.500 0.500  0.11
10 Ag 0.500 0.000 0.753  0.01
11 F 0.680 0.320 0.500  0.01
12 Ag 0.000 0.500 0.247  0.01

Most stable of them? <x>.

<w>
Computed, not measured: a relaxed AgRh2F crystal at the PBE-GGA level of DFT.

spin magnetization = 0.817 μB per atom
space group = Fm-3m, No. 225
crystal system = cubic
density = 9.19 g/cm³

Cell: 4.397 4.397 4.397 Å, 60.00 60.00 60.00°
Site moments in Bohr magnetons follow the coordinates.
Atoms (fractional coordinates):
1 Rh 0.750 0.750 0.750  1.46
2 F 0.000 0.000 0.000  0.12
3 Rh 0.250 0.250 0.250  1.46
4 Ag 0.500 0.500 0.500  0.17

<x>
Computed, not measured: a relaxed AgRh2F crystal at the PBE-GGA level of DFT.

spin magnetization = 0.485 μB per atom
space group = I-42d, No. 122
crystal system = tetragonal
density = 8.53 g/cm³

Cell: 3.549 3.549 10.587 Å, 80.35 80.35 90.00°
Site moments in Bohr magnetons follow the coordinates.
Atoms (fractional coordinates):
1 Ag 0.750 0.250 0.500  0.04
2 Rh 0.125 0.625 0.250  0.91
3 Rh 0.625 0.125 0.250  0.91
4 Ag 0.000 0.000 0.000  0.04
5 F 0.500 0.500 0.000  0.02
6 Rh 0.875 0.875 0.750  0.92
7 F 0.250 0.750 0.500  0.02
8 Rh 0.375 0.375 0.750  0.92

Most stable of them? <x>.

<w>
Computed, not measured: a relaxed Ag2RhF2 crystal at the PBE-GGA level of DFT.

spin magnetization = 0.310 μB per atom
space group = P4/mbm, No. 127
crystal system = tetragonal
density = 8.14 g/cm³

Cell: 7.052 7.052 2.924 Å, 90.00 90.00 90.00°
Site moments in Bohr magnetons follow the coordinates.
Atoms (fractional coordinates):
1 Ag 0.846 0.346 0.500  0.00
2 F 0.855 0.645 0.000  0.03
3 Ag 0.154 0.654 0.500  0.00
4 F 0.645 0.145 0.000  0.02
5 Rh 0.500 0.500 0.000  1.46
6 Ag 0.346 0.154 0.500  0.00
7 F 0.355 0.855 0.000  0.02
8 F 0.145 0.355 0.000  0.03
9 Ag 0.654 0.846 0.500  0.00
10 Rh 0.000 0.000 0.000  1.46

<x>
Computed, not measured: a relaxed Ag2RhF2 crystal at the PBE-GGA level of DFT.

spin magnetization = 0.200 μB per atom
space group = I4/mmm, No. 139
crystal system = tetragonal
density = 7.24 g/cm³

Cell: 5.044 5.044 4.801 Å, 58.31 58.31 90.00°
Site moments in Bohr magnetons follow the coordinates.
Atoms (fractional coordinates):
1 Ag 0.250 0.750 0.500  0.04
2 Ag 0.750 0.250 0.500  0.04
3 F 0.690 0.690 0.620  0.05
4 Rh 0.000 0.000 0.000  0.79
5 F 0.310 0.310 0.380  0.05

Most stable of them? <x>.

<w>
Computed, not measured: a relaxed Ag2RuF6 crystal at the PBE-GGA level of DFT.

spin magnetization = 0.222 μB per atom
space group = P4/mnc, No. 128
crystal system = tetragonal
density = 4.53 g/cm³

Cell: 6.392 6.392 7.734 Å, 90.00 90.00 90.00°
Site moments in Bohr magnetons follow the coordinates.
Atoms (fractional coordinates):
1 F 0.000 0.000 0.753  0.11
2 Ru 0.000 0.000 0.000  1.50
3 F 0.094 0.704 0.000  0.03
4 F 0.704 0.906 0.000  0.03
5 Ru 0.500 0.500 0.500  1.50
6 F 0.594 0.796 0.500  0.03
7 F 0.500 0.500 0.747  0.11
8 Ag 0.000 0.500 0.750  0.03
9 Ag 0.500 0.000 0.750  0.03
10 F 0.406 0.204 0.500  0.03
11 Ag 0.000 0.500 0.250  0.03
12 F 0.906 0.296 0.000  0.03
13 F 0.500 0.500 0.253  0.11
14 F 0.204 0.594 0.500  0.03
15 Ag 0.500 0.000 0.250  0.03
16 F 0.796 0.406 0.500  0.03
17 F 0.296 0.094 0.000  0.03
18 F 0.000 0.000 0.247  0.11

<x>
Computed, not measured: a relaxed Ag2RuF6 crystal at the PBE-GGA level of DFT.

spin magnetization = 0.222 μB per atom
space group = P4_2/mnm, No. 136
crystal system = tetragonal
density = 4.84 g/cm³

Cell: 5.257 5.257 10.691 Å, 90.00 90.00 90.00°
Site moments in Bohr magnetons follow the coordinates.
Atoms (fractional coordinates):
1 F 0.679 0.679 0.138  0.04
2 Ag 0.000 0.000 0.163  0.02
3 Ag 0.500 0.500 0.337  0.02
4 F 0.679 0.679 0.862  0.04
5 F 0.260 0.260 0.500  0.09
6 Ru 0.000 0.000 0.500  1.51
7 F 0.821 0.179 0.362  0.04
8 Ru 0.500 0.500 0.000  1.51
9 Ag 0.000 0.000 0.837  0.02
10 Ag 0.500 0.500 0.663  0.02
11 F 0.821 0.179 0.638  0.04
12 F 0.240 0.760 0.000  0.09
13 F 0.760 0.240 0.000  0.09
14 F 0.321 0.321 0.862  0.04
15 F 0.179 0.821 0.638  0.04
16 F 0.740 0.740 0.500  0.09
17 F 0.321 0.321 0.138  0.04
18 F 0.179 0.821 0.362  0.04

Most stable of them? <x>.